Entry 1:
The following is a GGA-PBE calculation of a relaxed Cr5Tc3 crystal, from Alexandria.

The structure in CIF format:
```
data_Cr5Tc3
_chemical_formula_sum 'Cr10 Tc6'
_symmetry_space_group_name_H-M 'P 1'
_symmetry_Int_Tables_number 1
_symmetry_space_group_name_Hall 'P 1'
_cell_length_a 4.742
_cell_length_b 7.071
_cell_length_c 7.073
_cell_angle_alpha 81.74
_cell_angle_beta 70.49
_cell_angle_gamma 70.53
loop_
_atom_site_label
_atom_site_fract_x
_atom_site_fract_y
_atom_site_fract_z
Cr1 0.000 0.000 0.000
Cr2 0.000 0.493 0.516
Cr3 0.135 0.077 0.653
Cr4 0.258 0.439 0.060
Cr5 0.476 0.710 0.848
Cr6 0.501 0.377 0.631
Cr7 0.501 0.862 0.138
Cr8 0.637 0.515 0.215
Cr9 0.758 0.923 0.577
Cr10 0.977 0.710 0.847
Tc1 0.006 0.743 0.252
Tc2 0.009 0.175 0.295
Tc3 0.380 0.754 0.495
Tc4 0.505 0.114 0.881
Tc5 0.510 0.156 0.313
Tc6 0.880 0.357 0.892
```

Computed properties:
Energy above the most stable polymorph in this dataset ... 0.000 eV/atom
Energy relative to the elements ... 0.23 eV per atom
Size of the total moment ... 0.00 μB per cell

Entry 2:
The following is a GGA-PBE calculation of a relaxed CrTc2 crystal, from Alexandria.

The structure in CIF format:
```
data_CrTc2
_chemical_formula_sum 'Cr4 Tc8'
_symmetry_space_group_name_H-M 'I m m a'
_symmetry_Int_Tables_number 74
_symmetry_space_group_name_Hall '-I 2b 2'
_cell_length_a 2.618
_cell_length_b 3.975
_cell_length_c 17.563
_cell_angle_alpha 90.00
_cell_angle_beta 90.00
_cell_angle_gamma 90.00
loop_
_atom_site_label
_atom_site_fract_x
_atom_site_fract_y
_atom_site_fract_z
Cr1 0.000 0.250 0.116
Tc1 0.000 0.250 0.539
Tc2 0.000 0.250 0.683
```

Computed properties:
Energy above the most stable polymorph in this dataset ... 0.460 eV/atom
Energy relative to the elements ... 0.56 eV per atom
Size of the total moment ... 1.96 μB per cell

Entry 3:
The following is a GGA-PBE calculation of a relaxed CrTc2 crystal, from Alexandria.

The structure in CIF format:
```
data_CrTc2
_chemical_formula_sum 'Cr4 Tc8'
_symmetry_space_group_name_H-M 'C m c m'
_symmetry_Int_Tables_number 63
_symmetry_space_group_name_Hall '-C 2c 2'
_cell_length_a 3.773
_cell_length_b 11.482
_cell_length_c 3.816
_cell_angle_alpha 90.00
_cell_angle_beta 90.00
_cell_angle_gamma 90.00
loop_
_atom_site_label
_atom_site_fract_x
_atom_site_fract_y
_atom_site_fract_z
Cr1 0.000 0.081 0.250
Tc1 0.000 0.248 0.750
Tc2 0.000 0.419 0.250
```

Computed properties:
Energy above the most stable polymorph in this dataset ... 0.071 eV/atom
Energy relative to the elements ... 0.17 eV per atom
Size of the total moment ... 0.00 μB per cell

Entry 4:
The following is a GGA-PBE calculation of a relaxed CrTc2 crystal, from Alexandria.

The structure in CIF format:
```
data_CrTc2
_chemical_formula_sum 'Cr4 Tc8'
_symmetry_space_group_name_H-M 'P 63/m m c'
_symmetry_Int_Tables_number 194
_symmetry_space_group_name_Hall '-P 6c 2c'
_cell_length_a 5.0841
_cell_length_b 5.0841
_cell_length_c 8.2420
_cell_angle_alpha 90.00
_cell_angle_beta 90.00
_cell_angle_gamma 120.00
loop_
_atom_site_label
_atom_site_fract_x
_atom_site_fract_y
_atom_site_fract_z
Cr1 0.3333 0.6667 0.0703
Tc1 0.0000 0.0000 0.0000
Tc2 0.1738 0.3477 0.7500
```

Computed properties:
Energy above the most stable polymorph in this dataset ... 0.279 eV/atom
Energy relative to the elements ... 0.38 eV per atom
Size of the total moment ... 8.27 μB per cell

Entry 5:
The following is a GGA-PBE calculation of a relaxed CrTc2 crystal, from Alexandria.

The structure in CIF format:
```
data_CrTc2
_chemical_formula_sum 'Cr2 Tc4'
_symmetry_space_group_name_H-M 'P 63/m m c'
_symmetry_Int_Tables_number 194
_symmetry_space_group_name_Hall '-P 6c 2c'
_cell_length_a 4.2347
_cell_length_b 4.2347
_cell_length_c 5.3189
_cell_angle_alpha 90.00
_cell_angle_beta 90.00
_cell_angle_gamma 120.00
loop_
_atom_site_label
_atom_site_fract_x
_atom_site_fract_y
_atom_site_fract_z
Cr1 0.3333 0.6667 0.2500
Tc1 0.0000 0.0000 0.0000
Tc2 0.3333 0.6667 0.7500
```

Computed properties:
Energy above the most stable polymorph in this dataset ... 0.084 eV/atom
Energy relative to the elements ... 0.18 eV per atom
Size of the total moment ... 0.01 μB per cell

Entry 6:
The following is a GGA-PBE calculation of a relaxed CrTc2 crystal, from Alexandria.

The structure in CIF format:
```
data_CrTc2
_chemical_formula_sum 'Cr4 Tc8'
_symmetry_space_group_name_H-M 'I 41/a m d'
_symmetry_Int_Tables_number 141
_cell_length_a 2.817
_cell_length_b 2.817
_cell_length_c 21.588
_cell_angle_alpha 90.00
_cell_angle_beta 90.00
_cell_angle_gamma 90.00
loop_
_symmetry_equiv_pos_as_xyz
'x,y,z'
'-x,-y,-z'
'-y+1/4,x+3/4,z+1/4'
'y+1/4,-x+3/4,-z+1/4'
'-x+1/2,-y,z+1/2'
'x+1/2,y,-z+1/2'
'y+1/4,-x+1/4,z+3/4'
'-y+1/4,x+1/4,-z+3/4'
'x,-y,-z'
'-x,y,z'
'-y+1/4,-x+1/4,-z+3/4'
'y+1/4,x+1/4,z+3/4'
'-x+1/2,y,-z+1/2'
'x+1/2,-y,z+1/2'
'y+1/4,x+3/4,-z+1/4'
'-y+1/4,-x+3/4,z+1/4'
'x+1/2,y+1/2,z+1/2'
'-x+1/2,-y+1/2,-z+1/2'
'-y+3/4,x+1/4,z+3/4'
'y+3/4,-x+1/4,-z+3/4'
'-x,-y+1/2,z'
'x,y+1/2,-z'
'y+3/4,-x+3/4,z+1/4'
'-y+3/4,x+3/4,-z+1/4'
'x+1/2,-y+1/2,-z+1/2'
'-x+1/2,y+1/2,z+1/2'
'-y+3/4,-x+3/4,-z+1/4'
'y+3/4,x+3/4,z+1/4'
'-x,y+1/2,-z'
'x,-y+1/2,z'
'y+3/4,x+1/4,-z+3/4'
'-y+3/4,-x+1/4,z+3/4'
loop_
_atom_site_label
_atom_site_fract_x
_atom_site_fract_y
_atom_site_fract_z
Cr1 0.000 0.250 0.375
Tc1 0.000 0.250 0.801
```

Computed properties:
Energy above the most stable polymorph in this dataset ... 0.241 eV/atom
Energy relative to the elements ... 0.34 eV per atom
Size of the total moment ... 0.00 μB per cell

Entry 7:
The following is a GGA-PBE calculation of a relaxed Cr5Tc crystal, from Alexandria.

The structure in CIF format:
```
data_Cr5Tc
_chemical_formula_sum 'Cr5 Tc1'
_symmetry_space_group_name_H-M 'P 6/m m m'
_symmetry_Int_Tables_number 191
_symmetry_space_group_name_Hall '-P 6 2'
_cell_length_a 4.6262
_cell_length_b 4.6262
_cell_length_c 4.1452
_cell_angle_alpha 90.00
_cell_angle_beta 90.00
_cell_angle_gamma 120.00
loop_
_atom_site_label
_atom_site_fract_x
_atom_site_fract_y
_atom_site_fract_z
Cr1 0.0000 0.5000 0.0000
Cr2 0.3333 0.6667 0.5000
Tc1 0.0000 0.0000 0.5000
```

Computed properties:
Energy above the most stable polymorph in this dataset ... 0.365 eV/atom
Energy relative to the elements ... 0.38 eV per atom
Size of the total moment ... 0.00 μB per cell

Entry 8:
The following is a GGA-PBE calculation of a relaxed Cr5Tc crystal, from Alexandria.

The structure in CIF format:
```
data_Cr5Tc
_chemical_formula_sum 'Cr20 Tc4'
_symmetry_space_group_name_H-M 'F -4 3 m'
_symmetry_Int_Tables_number 216
_symmetry_space_group_name_Hall 'F -4 2 3'
_cell_length_a 6.696
_cell_length_b 6.696
_cell_length_c 6.696
_cell_angle_alpha 90.00
_cell_angle_beta 90.00
_cell_angle_gamma 90.00
loop_
_atom_site_label
_atom_site_fract_x
_atom_site_fract_y
_atom_site_fract_z
Cr1 0.000 0.000 0.000
Cr2 0.125 0.125 0.625
Tc1 0.250 0.250 0.250
```

Computed properties:
Energy above the most stable polymorph in this dataset ... 0.127 eV/atom
Energy relative to the elements ... 0.14 eV per atom
Size of the total moment ... 10.90 μB per cell

Please write out number 8 again, unchanged.
The following is a GGA-PBE calculation of a relaxed Cr5Tc crystal, from Alexandria.

The structure in CIF format:
```
data_Cr5Tc
_chemical_formula_sum 'Cr20 Tc4'
_symmetry_space_group_name_H-M 'F -4 3 m'
_symmetry_Int_Tables_number 216
_symmetry_space_group_name_Hall 'F -4 2 3'
_cell_length_a 6.696
_cell_length_b 6.696
_cell_length_c 6.696
_cell_angle_alpha 90.00
_cell_angle_beta 90.00
_cell_angle_gamma 90.00
loop_
_atom_site_label
_atom_site_fract_x
_atom_site_fract_y
_atom_site_fract_z
Cr1 0.000 0.000 0.000
Cr2 0.125 0.125 0.625
Tc1 0.250 0.250 0.250
```

Computed properties:
Energy above the most stable polymorph in this dataset ... 0.127 eV/atom
Energy relative to the elements ... 0.14 eV per atom
Size of the total moment ... 10.90 μB per cell

Copy entry 4 word for word.
The following is a GGA-PBE calculation of a relaxed CrTc2 crystal, from Alexandria.

The structure in CIF format:
```
data_CrTc2
_chemical_formula_sum 'Cr4 Tc8'
_symmetry_space_group_name_H-M 'P 63/m m c'
_symmetry_Int_Tables_number 194
_symmetry_space_group_name_Hall '-P 6c 2c'
_cell_length_a 5.0841
_cell_length_b 5.0841
_cell_length_c 8.2420
_cell_angle_alpha 90.00
_cell_angle_beta 90.00
_cell_angle_gamma 120.00
loop_
_atom_site_label
_atom_site_fract_x
_atom_site_fract_y
_atom_site_fract_z
Cr1 0.3333 0.6667 0.0703
Tc1 0.0000 0.0000 0.0000
Tc2 0.1738 0.3477 0.7500
```

Computed properties:
Energy above the most stable polymorph in this dataset ... 0.279 eV/atom
Energy relative to the elements ... 0.38 eV per atom
Size of the total moment ... 8.27 μB per cell